! PmPrCuAu (PBE, relaxed); values from VASP
! Formation energy ... -0.44 eV/atom
! Calculated volume ... 24.69 Å³/atom
! Energy above the most stable polymorph in this dataset ... 0.043 eV/atom
! Raw total energy ... -4.67 eV per atom
&SYSTEM
  ibrav = 0, nat = 16, ntyp = 4
/
ATOMIC_SPECIES
Pm 145.00 Pm.upf
Pr 140.91 Pr.upf
Cu 63.55 Cu.upf
Au 196.97 Au.upf
CELL_PARAMETERS angstrom
7.3371 0.0000 0.0000
0.0000 7.3371 0.0000
0.0000 0.0000 7.3371
ATOMIC_POSITIONS angstrom
Pm 0.0000 0.0000 0.0000
Pm 0.0000 3.6685 3.6685
Pm 3.6685 0.0000 3.6685
Pm 3.6685 3.6685 0.0000
Pr 0.0000 0.0000 3.6685
Pr 0.0000 3.6685 0.0000
Pr 3.6685 0.0000 0.0000
Pr 3.6685 3.6685 3.6685
Cu 1.8343 1.8343 1.8343
Cu 1.8343 5.5028 5.5028
Cu 5.5028 1.8343 5.5028
Cu 5.5028 5.5028 1.8343
Au 1.8343 1.8343 5.5028
Au 1.8343 5.5028 1.8343
Au 5.5028 1.8343 1.8343
Au 5.5028 5.5028 5.5028